Entry from Alexandria via LeMat-Bulk: an optimized crystal structure of ScMoPb2 (GGA-PBE).

Computed properties:
The density of states at the Fermi level is 3.2 states/eV/cell. As for the formation energy: 0.237 eV per atom.

Cell lengths 3.7908, 3.7908, 6.1989 Å; angles 90.00, 90.00, 90.00 degrees
Closest atoms and distances in Å follow each position.
Sites, in units of the cell vectors:
Sc 0.0000 0.0000 0.0000  5 Pb 2.84-3.09, 4 Mo 3.04
Mo 0.5000 0.5000 0.2316  6 Pb 2.97-3.23, 4 Sc 3.04
Pb 0.0000 0.0000 0.4580  1 Sc 2.84, 4 Mo 3.03
Pb 0.5000 0.5000 0.7527  2 Mo 2.97-3.23, 4 Sc 3.09, 4 Pb 3.24